VASP calculation (PBE) on crystalline ZnGa2Pd4 at its relaxed geometry.

Lattice parameters (Å, degrees): 5.973 6.506 6.543 107.48 108.06 103.88
Space group P1 (No. 1)
Inequivalent atoms, fractional coordinates:
Zn: 0.000 0.000 0.000
Zn: 0.323 0.465 0.685
Ga: 0.063 0.802 0.582
Ga: 0.445 0.705 0.351
Ga: 0.592 0.076 0.211
Ga: 0.717 0.345 0.860
Pd: 0.011 0.398 0.267
Pd: 0.150 0.661 0.958
Pd: 0.293 0.064 0.427
Pd: 0.371 0.304 0.024
Pd: 0.532 0.908 0.786
Pd: 0.689 0.488 0.527
Pd: 0.763 0.734 0.154
Pd: 0.898 0.131 0.609

Properties
- Energy relative to the elements: -543 meV/atom
- Total DFT energy (no corrections): -63.79 eV/cell
- Total magnetic moment: 0.0 μB per cell